# Nd3Ho5Bi12 PBE relaxed
data_Nd3Ho5Bi12
_chemical_formula_sum 'Nd12 Ho20 Bi48'
_cell_length_a 15.9823
_cell_length_b 15.9823
_cell_length_c 15.9823
_cell_angle_alpha 109.47
_cell_angle_beta 109.47
_cell_angle_gamma 109.47
_symmetry_space_group_name_H-M 'P 1'
_symmetry_Int_Tables_number 1
loop_
_symmetry_equiv_pos_as_xyz
'x,y,z'
loop_
_atom_site_label
_atom_site_fract_x
_atom_site_fract_y
_atom_site_fract_z
Nd1 0.1250 0.2500 0.3750
Nd2 0.1250 0.3750 0.7500
Nd3 0.2500 0.3750 0.1250
Nd4 0.2500 0.8750 0.6250
Nd5 0.3750 0.1250 0.2500
Nd6 0.3750 0.7500 0.1250
Nd7 0.6250 0.2500 0.8750
Nd8 0.6250 0.8750 0.7500
Nd9 0.7500 0.1250 0.3750
Nd10 0.7500 0.6250 0.8750
Nd11 0.8750 0.6250 0.2500
Nd12 0.8750 0.7500 0.6250
Ho1 0.0000 0.0000 0.0000
Ho2 0.0000 0.0000 0.5000
Ho3 0.0000 0.5000 0.0000
Ho4 0.0000 0.5000 0.5000
Ho5 0.1250 0.7500 0.8750
Ho6 0.1250 0.8750 0.2500
Ho7 0.2500 0.1250 0.8750
Ho8 0.2500 0.6250 0.3750
Ho9 0.3750 0.2500 0.6250
Ho10 0.3750 0.6250 0.7500
Ho11 0.5000 0.0000 0.0000
Ho12 0.5000 0.0000 0.5000
Ho13 0.5000 0.5000 0.0000
Ho14 0.5000 0.5000 0.5000
Ho15 0.6250 0.3750 0.2500
Ho16 0.6250 0.7500 0.3750
Ho17 0.7500 0.3750 0.6250
Ho18 0.7500 0.8750 0.1250
Ho19 0.8750 0.1250 0.7500
Ho20 0.8750 0.2500 0.1250
Bi1 0.0628 0.2359 0.1370
Bi2 0.0628 0.3269 0.9258
Bi3 0.0742 0.6370 0.4011
Bi4 0.0742 0.9372 0.6731
Bi5 0.0989 0.7359 0.6731
Bi6 0.0989 0.8630 0.4258
Bi7 0.1370 0.0628 0.2359
Bi8 0.1370 0.5742 0.9011
Bi9 0.1731 0.2359 0.5989
Bi10 0.1731 0.4372 0.5742
Bi11 0.2359 0.1370 0.0628
Bi12 0.2359 0.5989 0.1731
Bi13 0.2641 0.3269 0.9011
Bi14 0.2641 0.4372 0.3630
Bi15 0.3269 0.9011 0.2641
Bi16 0.3269 0.9258 0.0628
Bi17 0.3630 0.2641 0.4372
Bi18 0.3630 0.5989 0.9258
Bi19 0.4011 0.0742 0.6370
Bi20 0.4011 0.8269 0.7641
Bi21 0.4258 0.0989 0.8630
Bi22 0.4258 0.8269 0.5628
Bi23 0.4372 0.3630 0.2641
Bi24 0.4372 0.5742 0.1731
Bi25 0.5628 0.4258 0.8269
Bi26 0.5628 0.6370 0.7359
Bi27 0.5742 0.1731 0.4372
Bi28 0.5742 0.9011 0.1370
Bi29 0.5989 0.1731 0.2359
Bi30 0.5989 0.9258 0.3630
Bi31 0.6370 0.4011 0.0742
Bi32 0.6370 0.7359 0.5628
Bi33 0.6731 0.0742 0.9372
Bi34 0.6731 0.0989 0.7359
Bi35 0.7359 0.5628 0.6370
Bi36 0.7359 0.6731 0.0989
Bi37 0.7641 0.4011 0.8269
Bi38 0.7641 0.8630 0.9372
Bi39 0.8269 0.5628 0.4258
Bi40 0.8269 0.7641 0.4011
Bi41 0.8630 0.4258 0.0989
Bi42 0.8630 0.9372 0.7641
Bi43 0.9011 0.1370 0.5742
Bi44 0.9011 0.2641 0.3269
Bi45 0.9258 0.0628 0.3269
Bi46 0.9258 0.3630 0.5989
Bi47 0.9372 0.6731 0.0742
Bi48 0.9372 0.7641 0.8630
# calculated volume = 39.28 Å³ per atom
# space-group type = Ia-3d (230)
# DOS at the Fermi energy = 0.863 states/eV/atom
# theoretical density = 7.96 Mg/m³
# VASP energy = -4.398 eV per atom

=====

# LaIrSN2 PBE relaxed
data_LaIrSN2
_chemical_formula_sum 'La1 Ir1 S1 N2'
_cell_length_a 3.9899
_cell_length_b 3.9899
_cell_length_c 4.8402
_cell_angle_alpha 90.00
_cell_angle_beta 90.00
_cell_angle_gamma 90.00
_symmetry_space_group_name_H-M 'P 1'
_symmetry_Int_Tables_number 1
loop_
_symmetry_equiv_pos_as_xyz
'x,y,z'
loop_
_atom_site_label
_atom_site_fract_x
_atom_site_fract_y
_atom_site_fract_z
La1 0.0000 0.0000 0.0000
Ir1 0.5000 0.5000 0.5000
S1 0.5000 0.5000 0.0000
N1 0.0000 0.5000 0.5000
N2 0.5000 0.0000 0.5000
# calculated volume = 15.41 Å³ per atom
# space-group type = P4/mmm (123)
# DOS at the Fermi energy = 0.598 states/eV/atom
# theoretical density = 8.43 Mg/m³
# ΔE to the lowest computed polymorph = 0.00 eV/f.u.
# formation energy (no corrections) = -202 meV/atom
# VASP energy = -7.115 eV per atom

=====

# Tb10Sm4Ho PBE relaxed
data_Tb10Sm4Ho
_chemical_formula_sum 'Tb10 Sm4 Ho1'
_cell_length_a 9.4629
_cell_length_b 9.4629
_cell_length_c 9.4629
_cell_angle_alpha 99.62
_cell_angle_beta 99.62
_cell_angle_gamma 131.73
_symmetry_space_group_name_H-M 'P 1'
_symmetry_Int_Tables_number 1
loop_
_symmetry_equiv_pos_as_xyz
'x,y,z'
loop_
_atom_site_label
_atom_site_fract_x
_atom_site_fract_y
_atom_site_fract_z
Tb1 0.0489 0.1496 0.7016
Tb2 0.1496 0.4480 0.1007
Tb3 0.2500 0.7500 0.5000
Tb4 0.3473 0.0489 0.8993
Tb5 0.4480 0.3473 0.2984
Tb6 0.5520 0.6527 0.7016
Tb7 0.6527 0.9511 0.1007
Tb8 0.7500 0.2500 0.5000
Tb9 0.8504 0.5520 0.8993
Tb10 0.9511 0.8504 0.2984
Sm1 0.2014 0.6008 0.8021
Sm2 0.3992 0.2014 0.6006
Sm3 0.6008 0.7986 0.3994
Sm4 0.7986 0.3992 0.1979
Ho1 0.0000 0.0000 0.0000
# calculated volume = 38.47 Å³ per atom
# space-group type = I4/m (87)
# DOS at the Fermi energy = 1.386 states/eV/atom
# theoretical density = 6.78 Mg/m³
# VASP energy = -3.911 eV per atom

=====

# Ti2Cu2Si PBE relaxed
data_Ti2Cu2Si
_chemical_formula_sum 'Ti4 Cu4 Si2'
_cell_length_a 6.1130
_cell_length_b 6.1130
_cell_length_c 3.8641
_cell_angle_alpha 90.00
_cell_angle_beta 90.00
_cell_angle_gamma 90.00
_symmetry_space_group_name_H-M 'P 1'
_symmetry_Int_Tables_number 1
loop_
_symmetry_equiv_pos_as_xyz
'x,y,z'
loop_
_atom_site_label
_atom_site_fract_x
_atom_site_fract_y
_atom_site_fract_z
Ti1 0.1676 0.3324 0.0000
Ti2 0.3324 0.8324 0.0000
Ti3 0.6676 0.1676 0.0000
Ti4 0.8324 0.6676 0.0000
Cu1 0.1367 0.6367 0.5000
Cu2 0.3633 0.1367 0.5000
Cu3 0.6367 0.8633 0.5000
Cu4 0.8633 0.3633 0.5000
Si1 0.0000 0.0000 0.5000
Si2 0.5000 0.5000 0.5000
# calculated volume = 14.44 Å³ per atom
# space-group type = P4/mbm (127)
# DOS at the Fermi energy = 0.395 states/eV/atom
# theoretical density = 5.77 Mg/m³
# formation energy (no corrections) = -221 meV/atom
# VASP energy = -6.102 eV per atom